No. 1
A relaxed Ce2TaNi3As4 crystal, computed with PBE-GGA.

## Properties
As for the crystal system: tetragonal. The calculation puts the energy relative to the elements at -7.2 eV per formula unit. The density of states at the Fermi level comes out at 1.3558 states/eV per atom. The value obtained for the size of the total moment is 0.1733 μB per atom.

a = 4.1948 Å, b = 4.1948 Å, c = 10.0541 Å
α = 90.00°, β = 90.00°, γ = 90.00°
Last column: nearest neighbours and their distance in Å.
Fractional positions:
Ce (0.0000, 0.5000, 0.2314)  8 As 3.13-3.20, 7 Ni 3.19-3.47, 2 Ta 3.42
Ce (0.5000, 0.0000, 0.7686)  8 As 3.13-3.20, 7 Ni 3.19-3.47, 2 Ta 3.42
Ta (0.0000, 0.0000, 0.5000)  4 As 2.58
Ni (0.0000, 0.5000, 0.8858)  5 As 2.38-2.39
Ni (0.5000, 0.0000, 0.1142)  5 As 2.38-2.39
Ni (0.5000, 0.5000, 0.5000)  4 As 2.58
As (0.0000, 0.0000, 0.0000)  4 Ni 2.39
As (0.0000, 0.5000, 0.6494)  3 Ni 2.38-2.58, 2 Ta 2.58
As (0.5000, 0.0000, 0.3506)  3 Ni 2.38-2.58, 2 Ta 2.58
As (0.5000, 0.5000, 0.0000)  4 Ni 2.39

No. 2
A relaxed Ce2VNi3As4 crystal, computed with PBE-GGA.

## Properties
As for the crystal system: tetragonal. The calculation puts the energy relative to the elements at -7.7 eV per formula unit. The density of states at the Fermi level comes out at 1.1439 states/eV per atom. The value obtained for the size of the total moment is 0.3557 μB per atom.

a = 4.2196 Å, b = 4.2196 Å, c = 9.6698 Å
α = 90.00°, β = 90.00°, γ = 90.00°
Last column: nearest neighbours and their distance in Å.
Fractional positions:
Ce (0.0000, 0.5000, 0.2394)  8 As 3.13-3.20, 7 Ni 3.22-3.42, 2 V 3.29
Ce (0.5000, 0.0000, 0.7606)  8 As 3.13-3.20, 7 Ni 3.22-3.42, 2 V 3.29
V (0.0000, 0.0000, 0.5000)  4 As 2.51
Ni (0.0000, 0.5000, 0.8854)  5 As 2.38
Ni (0.5000, 0.0000, 0.1146)  5 As 2.38
Ni (0.5000, 0.5000, 0.5000)  4 As 2.51
As (0.0000, 0.0000, 0.0000)  4 Ni 2.38
As (0.0000, 0.5000, 0.6397)  3 Ni 2.38-2.51, 2 V 2.51
As (0.5000, 0.0000, 0.3603)  3 Ni 2.38-2.51, 2 V 2.51
As (0.5000, 0.5000, 0.0000)  4 Ni 2.38

No. 3
A relaxed CeYNi2As2 crystal, computed with PBE-GGA.

## Properties
As for the crystal system: trigonal. The calculation puts the energy relative to the elements at -6.3 eV per formula unit. The density of states at the Fermi level comes out at 0.9163 states/eV per atom. The value obtained for the size of the total moment is 0.1119 μB per atom.

a = 4.0726 Å, b = 4.0726 Å, c = 7.8617 Å
α = 90.00°, β = 90.00°, γ = 120.00°
Last column: nearest neighbours and their distance in Å.
Fractional positions:
Ce (0.0000, 0.0000, 0.0000)  6 Ni 3.01, 6 As 3.11
Y (0.0000, 0.0000, 0.5000)  6 As 3.02, 6 Ni 3.12
Ni (0.3333, 0.6667, 0.7612)  3 As 2.36
Ni (0.6667, 0.3333, 0.2388)  3 As 2.36
As (0.3333, 0.6667, 0.2597)  3 Ni 2.36
As (0.6667, 0.3333, 0.7403)  3 Ni 2.36